Computed, not measured: crystalline LiPm4In2Ga at its relaxed geometry at the PBE level of DFT.

## Properties
The raw total energy is -0.300 Ry per atom. The energy of formation from the pure elements is -0.4034 eV per atom. As for the density of states at the Fermi level: 25.0 states/eV/cell.

```
data_LiPm4In2Ga
_chemical_formula_sum 'Li3 Pm12 In6 Ga3'
_symmetry_space_group_name_H-M 'R -3 m'
_symmetry_Int_Tables_number 166
_symmetry_space_group_name_Hall '-R 3 2"'
_cell_length_a 5.3835
_cell_length_b 5.3835
_cell_length_c 26.2673
_cell_angle_alpha 90.00
_cell_angle_beta 90.00
_cell_angle_gamma 120.00
loop_
_atom_site_label
_atom_site_type_symbol
_atom_site_fract_x
_atom_site_fract_y
_atom_site_fract_z
_atom_site_occupancy
Li1 Li 0.0000 0.0000 0.0000 1
Pm1 Pm 0.0000 0.0000 0.1298 1
Pm2 Pm 0.0000 0.0000 0.3816 1
In1 In 0.0000 0.0000 0.2580 1
Ga1 Ga 0.0000 0.0000 0.5000 1
```

***

Computed, not measured: crystalline Mn2TeSe2 at its relaxed geometry at the PBE level of DFT.

## Properties
The raw total energy is -0.440 Ry per atom. As for the density of states at the Fermi level: 3.9 states/eV/cell. The value obtained for the uncorrected formation energy is -6.99 kcal/mol of atoms.

```
data_Mn2TeSe2
_chemical_formula_sum 'Mn4 Te2 Se4'
_symmetry_space_group_name_H-M 'I m m m'
_symmetry_Int_Tables_number 71
_symmetry_space_group_name_Hall '-I 2 2'
_cell_length_a 3.768
_cell_length_b 5.213
_cell_length_c 11.917
_cell_angle_alpha 90.00
_cell_angle_beta 90.00
_cell_angle_gamma 90.00
loop_
_atom_site_label
_atom_site_type_symbol
_atom_site_fract_x
_atom_site_fract_y
_atom_site_fract_z
_atom_site_occupancy
Mn1 Mn 0.000 0.000 0.172 1
Te1 Te 0.000 0.500 0.500 1
Se1 Se 0.000 0.500 0.185 1
```